First-principles (PBE) data for MnZnCd2 after structural relaxation, as listed in Alexandria.

Unit cell a=2.9835 b=2.9835 c=8.0343 alpha=90.00 beta=90.00 gamma=90.00
Fractional positions:
1 Cd 0.5000 0.5000 0.2773
2 Cd 0.0000 0.0000 0.9778
3 Mn 0.0000 0.0000 0.5250
4 Zn 0.5000 0.5000 0.7199

calculated formation energy: 121.2 meV per atom
total DFT energy (no corrections): -2.95 eV per atom